## TlMoAsF2 (PBE with a Hubbard U)

Data for an optimized crystal structure of TlMoAsF2.

The space group is P4/mmm (No. 123) and the conventional cell measures 4.2344, 4.2344 and 6.0457 Å, with angles of 90.00, 90.00 and 90.00 degrees. The inequivalent atoms are Tl at (0.0000, 0.0000, 0.0000), Mo at (0.5000, 0.5000, 0.0000), As at (0.0000, 0.0000, 0.5000) and F at (0.0000, 0.5000, 0.5000).

As for the energy: -19.77 eV per cell.